[1]
Cs2Hg2Pb: PBEsol geometry, meta-GGA SCAN.

uncorrected energy: -57.8024 eV/atom
calculated formation energy: -0.256 eV/atom
D(E_F): 5.27 states/eV/cell

Cell lengths 5.954, 7.973, 7.973 Å; angles 90.00, 90.00, 90.00 degrees
Atoms (fractional coordinates):
Cs 0.500 0.674 0.826
Cs 0.500 0.826 0.326
Cs 0.500 0.174 0.674
Cs 0.500 0.326 0.174
Pb 0.000 0.500 0.500
Pb 0.000 0.000 0.000
Hg 0.000 0.864 0.636
Hg 0.000 0.364 0.864
Hg 0.000 0.136 0.364
Hg 0.000 0.636 0.136


[2]
Cs2Hg2Pd: PBEsol geometry, meta-GGA SCAN.

uncorrected energy: -48.9118 eV/atom
calculated formation energy: 0.034 eV/atom
D(E_F): 4.05 states/eV/cell

Cell lengths 4.121, 4.121, 10.861 Å; angles 100.94, 100.94, 90.00 degrees
Atoms (fractional coordinates):
Cs 0.592 0.592 0.185
Cs 0.408 0.408 0.815
Hg 0.750 0.250 0.500
Hg 0.250 0.750 0.500
Pd 0.000 0.000 0.000


[3]
Cs3RbHg: PBEsol geometry, meta-GGA SCAN.

uncorrected energy: -40.5749 eV/atom
calculated formation energy: -0.108 eV/atom
D(E_F): 5.20 states/eV/cell

Cell lengths 7.374, 7.374, 7.374 Å; angles 90.00, 90.00, 90.00 degrees
Atoms (fractional coordinates):
Rb 0.500 0.500 0.500
Hg 0.000 0.000 0.000
Cs 0.500 0.000 0.000
Cs 0.000 0.000 0.500
Cs 0.000 0.500 0.000


[4]
CsRbHg2: PBEsol geometry, meta-GGA SCAN.

uncorrected energy: -48.9708 eV/atom
calculated formation energy: -0.250 eV/atom
D(E_F): 4.13 states/eV/cell

Cell lengths 6.116, 6.116, 6.116 Å; angles 60.00, 60.00, 60.00 degrees
Atoms (fractional coordinates):
Cs 0.500 0.500 0.500
Hg 0.250 0.250 0.250
Hg 0.750 0.750 0.750
Rb 0.000 0.000 0.000


[5]
CsRb2Hg2: PBEsol geometry, meta-GGA SCAN.

uncorrected energy: -43.2863 eV/atom
calculated formation energy: -0.162 eV/atom
D(E_F): 11.81 states/eV/cell

Cell lengths 4.174, 10.477, 10.477 Å; angles 90.00, 90.00, 90.00 degrees
Atoms (fractional coordinates):
Hg 0.500 0.334 0.166
Hg 0.500 0.834 0.334
Hg 0.500 0.166 0.666
Hg 0.500 0.666 0.834
Rb 0.000 0.130 0.370
Rb 0.000 0.630 0.130
Rb 0.000 0.870 0.630
Rb 0.000 0.370 0.870
Cs 0.000 0.000 0.000
Cs 0.000 0.500 0.500


[6]
CsRb2Hg2: PBEsol geometry, meta-GGA SCAN.

uncorrected energy: -43.3234 eV/atom
calculated formation energy: -0.199 eV/atom
D(E_F): 4.37 states/eV/cell

Cell lengths 5.720, 5.720, 8.486 Å; angles 109.70, 109.70, 90.00 degrees
Atoms (fractional coordinates):
Cs 0.000 0.000 0.000
Rb 0.250 0.750 0.500
Rb 0.750 0.250 0.500
Hg 0.404 0.404 0.807
Hg 0.596 0.596 0.193


[7]
CsRb3Hg: PBEsol geometry, meta-GGA SCAN.

uncorrected energy: -33.7470 eV/atom
calculated formation energy: -0.108 eV/atom
D(E_F): 3.71 states/eV/cell

Cell lengths 7.117, 7.117, 7.117 Å; angles 90.00, 90.00, 90.00 degrees
Atoms (fractional coordinates):
Cs 0.500 0.500 0.500
Rb 0.000 0.000 0.500
Rb 0.500 0.000 0.000
Rb 0.000 0.500 0.000
Hg 0.000 0.000 0.000


[8]
Cs2ReHg: PBEsol geometry, meta-GGA SCAN.

uncorrected energy: -52.3947 eV/atom
calculated formation energy: 1.326 eV/atom
D(E_F): 1.73 states/eV/cell

Cell lengths 5.919, 5.919, 5.919 Å; angles 60.00, 60.00, 60.00 degrees
Atoms (fractional coordinates):
Cs 0.250 0.250 0.250
Cs 0.750 0.750 0.750
Hg 0.500 0.500 0.500
Re 0.000 0.000 0.000